1.
DFT (PBE) results for PmBi2Sb after structural relaxation.

The structure in POSCAR format:
```
PmBi2Sb
1.0
0.000 3.953 3.953
3.953 0.000 3.953
3.953 3.953 0.000
Pm Bi Sb
1 2 1
Direct
0.000 0.000 0.000 Pm
0.250 0.250 0.250 Bi
0.750 0.750 0.750 Bi
0.500 0.500 0.500 Sb
```

DOS at the Fermi energy   3.782 states/eV/cell
Crystal system   cubic
Energy relative to the elements, uncorrected   -0.16 eV per atom
Distance to the lowest polymorph of the same formula   0.283 eV/atom
Calculated volume   30.88 A^3/atom

2.
DFT (PBE) results for LiZrBr2 after structural relaxation.

The structure in POSCAR format:
```
LiZrBr2
1.0
1.749 1.010 7.771
-1.749 1.010 7.771
0.000 -2.020 7.771
Li Zr Br
1 1 2
Direct
0.000 0.000 0.000 Li
0.500 0.500 0.500 Zr
0.257 0.257 0.257 Br
0.743 0.743 0.743 Br
```

DOS at the Fermi energy   1.536 states/eV/cell
Crystal system   trigonal
Energy relative to the elements, uncorrected   -0.83 eV per atom
Distance to the lowest polymorph of the same formula   0.009 eV/atom
Calculated volume   20.59 A^3/atom

3.
DFT (PBE) results for K2YRh after structural relaxation.

The structure in POSCAR format:
```
K2YRh
1.0
-1.935 3.238 6.309
1.935 -3.238 6.309
1.935 3.238 -6.309
K Y Rh
2 1 1
Direct
0.000 0.000 0.000 K
0.678 0.178 0.500 K
0.352 0.352 0.000 Y
0.220 0.720 0.500 Rh
```

Energy of formation from the pure elements   191 meV per atom
DOS at the Fermi energy   3.441 states/eV/cell
Crystal system   orthorhombic
Distance to the lowest polymorph of the same formula   0.245 eV/atom
Calculated volume   39.52 A^3/atom

4.
DFT (PBE) results for MgPt2BrF after structural relaxation.

The structure in POSCAR format:
```
MgPt2BrF
1.0
5.081 0.000 0.000
0.000 5.081 0.000
0.000 0.000 3.625
Mg Pt Br F
1 2 1 1
Direct
0.000 0.000 0.000 Mg
0.000 0.500 0.000 Pt
0.500 0.000 0.000 Pt
0.500 0.500 0.500 Br
0.000 0.000 0.500 F
```

DOS at the Fermi energy   1.888 states/eV/cell
Crystal system   tetragonal
Energy relative to the elements, uncorrected   -0.14 eV per atom
Distance to the lowest polymorph of the same formula   0.000 eV/atom
Calculated volume   18.72 A^3/atom

> DOS at the Fermi energy of number 4 (MgPt2BrF)?

1.888 states/eV/cell